P) VASP calculation (PBE-GGA) on crystalline RbPdSN2 at its relaxed geometry.

DOS(E_F) (states/eV per cell): 2.86

a b c (Å): 4.293 4.293 5.050
angles (deg): 90.00 90.00 90.00
Each line ends with the local moment (μB).
Atoms (fractional coordinates):
Rb: 0.500 0.500 0.500  0.02
Pd: 0.000 0.000 0.000  0.31
N: 0.500 0.000 0.000  1.13
S: 0.000 0.000 0.500  0.19
N: 0.000 0.500 0.000  1.13

---

Q) VASP calculation (PBE-GGA) on crystalline RbPdSN2 at its relaxed geometry.

DOS(E_F) (states/eV per cell): 5.00

a b c (Å): 5.181 5.181 6.178
angles (deg): 90.00 90.00 90.00
Each line ends with the local moment (μB).
Atoms (fractional coordinates):
N: 0.000 0.500 0.000  1.76
S: 0.000 0.000 0.500  0.62
Pd: 0.500 0.500 0.500  0.63
N: 0.500 0.000 0.000  1.76
Rb: 0.000 0.000 0.000  0.13

---

Which structure is most stable? P), by 1481 meV/atom over the runner-up.

---

P) VASP calculation (PBE-GGA) on crystalline RbSbPdN2 at its relaxed geometry.

DOS(E_F) (states/eV per cell): 5.62

a b c (Å): 4.483 5.191 4.483
angles (deg): 90.00 90.00 90.00
Atoms (fractional coordinates):
N: 0.500 0.000 0.000
Pd: 0.000 0.500 0.000
Rb: 0.000 0.000 0.000
Sb: 0.500 0.500 0.500
N: 0.000 0.000 0.500

---

Q) VASP calculation (PBE-GGA) on crystalline RbSbPdN2 at its relaxed geometry.

DOS(E_F) (states/eV per cell): 1.46

a b c (Å): 4.172 7.520 4.172
angles (deg): 90.00 90.00 90.00
Each line ends with the local moment (μB).
Atoms (fractional coordinates):
Sb: 0.000 0.000 0.000  -0.03
Rb: 0.000 0.500 0.000  0.00
N: 0.000 0.000 0.500  0.42
Pd: 0.500 0.500 0.500  -0.01
N: 0.500 0.000 0.000  0.55

---

Which structure is most stable? Q), by 1047 meV/atom over the runner-up.

---

P) VASP calculation (PBE-GGA) on crystalline RbTePdN2 at its relaxed geometry.

DOS(E_F) (states/eV per cell): 5.98

a b c (Å): 4.433 4.433 5.434
angles (deg): 90.00 90.00 90.00
Each line ends with the local moment (μB).
Atoms (fractional coordinates):
Rb: 0.500 0.500 0.500  -0.01
Pd: 0.000 0.000 0.000  0.01
N: 0.500 0.000 0.000  0.29
Te: 0.000 0.000 0.500  -0.05
N: 0.000 0.500 0.000  0.29

---

Q) VASP calculation (PBE-GGA) on crystalline RbTePdN2 at its relaxed geometry.

DOS(E_F) (states/eV per cell): 10.21

a b c (Å): 4.169 4.169 7.412
angles (deg): 90.00 90.00 90.00
Atoms (fractional coordinates):
N: 0.500 0.000 0.000
Pd: 0.500 0.500 0.500
Rb: 0.000 0.000 0.000
N: 0.000 0.500 0.000
Te: 0.000 0.000 0.500

---

Which structure is most stable? P), by 1189 meV/atom over the runner-up.

---

P) VASP calculation (PBE-GGA) on crystalline RePdN2 at its relaxed geometry.

DOS(E_F) (states/eV per cell): 6.18

a b c (Å): 4.780 4.780 5.752
angles (deg): 65.45 65.45 90.00
Atoms (fractional coordinates):
N: 0.375 0.316 0.750
N: 0.684 0.125 0.250
Re: 0.750 0.250 0.500
N: 0.066 0.625 0.250
Re: 0.000 0.000 0.000
Pd: 0.500 0.500 0.000
N: 0.875 0.934 0.750
Pd: 0.250 0.750 0.500

---

Q) VASP calculation (PBE-GGA) on crystalline RePdN2 at its relaxed geometry.

DOS(E_F) (states/eV per cell): 3.70

a b c (Å): 3.857 3.857 3.857
angles (deg): 60.00 60.00 60.00
Atoms (fractional coordinates):
Re: 0.500 0.500 0.500
Pd: 0.000 0.000 0.000
N: 0.250 0.250 0.250
N: 0.750 0.750 0.750

---

Which structure is most stable? P), by 999 meV/atom over the runner-up.

---

P) VASP calculation (PBE-GGA) on crystalline Re3PdN at its relaxed geometry.

DOS(E_F) (states/eV per cell): 2.55

a b c (Å): 4.062 4.062 4.062
angles (deg): 90.00 90.00 90.00
Atoms (fractional coordinates):
Pd: 0.500 0.500 0.500
N: 0.000 0.000 0.000
Re: 0.000 0.500 0.000
Re: 0.000 0.000 0.500
Re: 0.500 0.000 0.000

---

Q) VASP calculation (PBE-GGA) on crystalline Re3PdN at its relaxed geometry.

DOS(E_F) (states/eV per cell): 8.54

a b c (Å): 4.739 4.739 4.739
angles (deg): 90.00 90.00 90.00
Each line ends with the local moment (μB).
Atoms (fractional coordinates):
Re: 0.000 0.000 0.500  1.26
N: 0.500 0.500 0.500  -1.05
Pd: 0.000 0.000 0.000  0.25
Re: 0.000 0.500 0.000  1.22
Re: 0.500 0.000 0.000  1.03

---

Which structure is most stable? P), by 3569 meV/atom over the runner-up.

---

P) VASP calculation (PBE-GGA) on crystalline RePdSN2 at its relaxed geometry.

DOS(E_F) (states/eV per cell): 3.38

a b c (Å): 3.912 3.912 4.863
angles (deg): 90.00 90.00 90.00
Each line ends with the local moment (μB).
Atoms (fractional coordinates):
N: 0.000 0.500 0.000  -0.71
Re: 0.500 0.500 0.500  3.14
S: 0.000 0.000 0.500  -0.07
N: 0.500 0.000 0.000  -0.71
Pd: 0.000 0.000 0.000  -0.37

---

Q) VASP calculation (PBE-GGA) on crystalline RePdSN2 at its relaxed geometry.

DOS(E_F) (states/eV per cell): 3.25

a b c (Å): 3.782 3.782 5.159
angles (deg): 90.00 90.00 90.00
Atoms (fractional coordinates):
S: 0.000 0.000 0.500
Pd: 0.500 0.500 0.500
Re: 0.000 0.000 0.000
N: 0.500 0.000 0.000
N: 0.000 0.500 0.000

---

Which structure is most stable? Q), by 1494 meV/atom over the runner-up.

---

P) VASP calculation (PBE-GGA) on crystalline PdRuN2 at its relaxed geometry.

DOS(E_F) (states/eV per cell): 4.84

a b c (Å): 4.800 4.800 5.581
angles (deg): 64.53 64.53 90.00
Atoms (fractional coordinates):
Pd: 0.000 0.000 0.000
Ru: 0.500 0.500 0.000
Ru: 0.250 0.750 0.500
Pd: 0.750 0.250 0.500
N: 0.375 0.417 0.750
N: 0.583 0.125 0.250
N: 0.167 0.625 0.250
N: 0.875 0.833 0.750

---

Q) VASP calculation (PBE-GGA) on crystalline PdRuN2 at its relaxed geometry.

DOS(E_F) (states/eV per cell): 4.16

a b c (Å): 3.860 3.860 3.860
angles (deg): 60.00 60.00 60.00
Atoms (fractional coordinates):
N: 0.750 0.750 0.750
N: 0.250 0.250 0.250
Ru: 0.000 0.000 0.000
Pd: 0.500 0.500 0.500

---

Which structure is most stable? P), by 904 meV/atom over the runner-up.

---

P) VASP calculation (PBE-GGA) on crystalline Pd3RuN at its relaxed geometry.

DOS(E_F) (states/eV per cell): 6.10

a b c (Å): 4.821 4.821 4.821
angles (deg): 90.00 90.00 90.00
Each line ends with the local moment (μB).
Atoms (fractional coordinates):
Ru: 0.000 0.000 0.000  0.85
Pd: 0.500 0.000 0.000  0.05
Pd: 0.000 0.500 0.000  0.18
N: 0.500 0.500 0.500  1.66
Pd: 0.000 0.000 0.500  0.37

---

Q) VASP calculation (PBE-GGA) on crystalline Pd3RuN at its relaxed geometry.

DOS(E_F) (states/eV per cell): 5.93

a b c (Å): 4.152 4.152 4.152
angles (deg): 90.00 90.00 90.00
Each line ends with the local moment (μB).
Atoms (fractional coordinates):
Pd: 0.000 0.000 0.500  0.12
Ru: 0.500 0.500 0.500  2.29
N: 0.000 0.000 0.000  -0.02
Pd: 0.500 0.000 0.000  0.26
Pd: 0.000 0.500 0.000  0.12

---

Which structure is most stable? Q), by 1551 meV/atom over the runner-up.